w.
Material: Cr2CdBr
Method: DFT, PBE-GGA
State: relaxed

Cell: 4.9102 4.9102 4.9102 Å, 60.00 60.00 60.00°
Each line ends with the local moment (μB).
Atoms (fractional coordinates):
Cd (0.5000, 0.5000, 0.5000)  0.00
Br (0.0000, 0.0000, 0.0000)  0.03
Cr (0.2500, 0.2500, 0.2500)  3.94
Cr (0.7500, 0.7500, 0.7500)  3.94

The value obtained for the density is 5.9 Mg/m³.

---

x.
Material: Cr2CdBr
Method: DFT, PBE-GGA
State: relaxed

Cell: 3.4081 5.9182 4.5013 Å, 90.00 90.00 90.00°
Each line ends with the local moment (μB).
Atoms (fractional coordinates):
Cr (0.0000, 0.0000, 0.0000)  4.04
Cr (0.5000, 0.5000, 0.0000)  3.91
Br (0.5000, 0.0000, 0.5000)  0.04
Cd (0.0000, 0.5000, 0.5000)  0.01

The value obtained for the density is 5.4 Mg/m³.

---

Name the most stable of them. x.